Ag2Pt2Se | PBE-GGA | optimized geometry

E_form (uncorrected) = 117 meV per atom
Symmetry = P4/mbm (127)
DFT total energy = -4.14 eV/atom

Cell lengths 6.599, 6.599, 4.258 Å; angles 90.00, 90.00, 90.00 degrees
Sites, in units of the cell vectors:
1 Ag 0.155 0.345 0.000
2 Ag 0.345 0.845 0.000
3 Ag 0.655 0.155 0.000
4 Ag 0.845 0.655 0.000
5 Pt 0.147 0.647 0.500
6 Pt 0.353 0.147 0.500
7 Pt 0.647 0.853 0.500
8 Pt 0.853 0.353 0.500
9 Se 0.000 0.000 0.500
10 Se 0.500 0.500 0.500